(1)
Below is a geometry-optimized V2ZnSi2 structure, with properties calculated at the PBE level.

Summary:
**Size of the total moment**: 0.00 μB per atom
**Symmetry**: No. 127
**E above lowest polymorph**: 0 meV per atom
**Energy relative to the elements, uncorrected**: -248 meV per atom

a = 6.4170 Å, b = 6.4170 Å, c = 3.2728 Å
α = 90.00°, β = 90.00°, γ = 90.00°
Closest atoms and distances in Å follow each position.
Fractional positions:
V: 0.8344 0.3344 0.5000  6 Si 2.47-2.52
V: 0.6656 0.8344 0.5000  6 Si 2.47-2.52
V: 0.1656 0.6656 0.5000  6 Si 2.47-2.52
V: 0.3344 0.1656 0.5000  6 Si 2.47-2.52
Si: 0.6303 0.1303 0.0000  1 Si 2.36, 6 V 2.47-2.52, 2 Zn 2.52
Si: 0.8697 0.6303 0.0000  1 Si 2.36, 6 V 2.47-2.52, 2 Zn 2.52
Si: 0.1303 0.3697 0.0000  1 Si 2.36, 6 V 2.47-2.52, 2 Zn 2.52
Si: 0.3697 0.8697 0.0000  1 Si 2.36, 6 V 2.47-2.52, 2 Zn 2.52
Zn: 0.0000 0.0000 0.0000  4 Si 2.52
Zn: 0.5000 0.5000 0.0000  4 Si 2.52

(2)
Below is a geometry-optimized Na2UCdS4 structure, with properties calculated at the PBE level.

Summary:
**Size of the total moment**: 0.25 μB per atom
**Symmetry**: No. 10
**Energy relative to the elements, uncorrected**: -1141 meV per atom

a = 3.9776 Å, b = 6.7729 Å, c = 7.1204 Å
α = 109.53°, β = 90.00°, γ = 90.00°
Closest atoms and distances in Å follow each position.
Fractional positions:
Cd: 0.0000 0.0000 0.0000  6 S 2.73-2.84
Na: 0.0000 0.5000 0.5000  6 S 2.84-2.93
Na: 0.5000 0.0000 0.5000  6 S 2.93-2.98
S: 0.0000 0.2683 0.7667  2 U 2.73, 3 Na 2.84-2.93, 1 Cd 2.84
S: 0.5000 0.7546 0.7785  1 U 2.70, 2 Cd 2.73, 3 Na 2.93-2.98
S: 0.0000 0.7317 0.2333  2 U 2.73, 3 Na 2.84-2.93, 1 Cd 2.84
S: 0.5000 0.2454 0.2215  1 U 2.70, 2 Cd 2.73, 3 Na 2.93-2.98
U: 0.5000 0.5000 0.0000  6 S 2.70-2.73

(3)
Below is a geometry-optimized BeAgPt2 structure, with properties calculated at the PBE level.

Summary:
**Size of the total moment**: 0.00 μB per atom
**Formation enthalpy at 0 K**: -83 meV/atom
**Symmetry**: No. 123

a = 3.7565 Å, b = 3.9531 Å, c = 3.9531 Å
α = 90.00°, β = 90.00°, γ = 90.00°
Closest atoms and distances in Å follow each position.
Fractional positions:
Be: 0.5000 0.0000 0.5000  8 Pt 2.73, 4 Ag 2.80
Ag: 0.5000 0.5000 0.0000  8 Pt 2.73, 4 Be 2.80
Pt: 0.0000 0.0000 0.0000  4 Be 2.73, 4 Ag 2.73, 4 Pt 2.80
Pt: 0.0000 0.5000 0.5000  4 Be 2.73, 4 Ag 2.73, 4 Pt 2.80

(4)
Below is a geometry-optimized Zn2Cu2Rh structure, with properties calculated at the PBE level.

Summary:
**Size of the total moment**: 0.00 μB per atom
**Formation enthalpy at 0 K**: -42 meV/atom
**Symmetry**: No. 127
**E above lowest polymorph**: 95 meV per atom

a = 6.9237 Å, b = 6.9237 Å, c = 2.7985 Å
α = 90.00°, β = 90.00°, γ = 90.00°
Closest atoms and distances in Å follow each position.
Fractional positions:
Rh: 0.0000 0.0000 0.0000  4 Cu 2.74, 2 Rh 2.80, 8 Zn 2.91
Rh: 0.5000 0.5000 0.0000  4 Cu 2.74, 2 Rh 2.80, 8 Zn 2.91
Cu: 0.1241 0.3759 0.0000  6 Zn 2.42-2.52, 1 Cu 2.43
Cu: 0.3759 0.8759 0.0000  6 Zn 2.42-2.52, 1 Cu 2.43
Cu: 0.6241 0.1241 0.0000  6 Zn 2.42-2.52, 1 Cu 2.43
Cu: 0.8759 0.6241 0.0000  6 Zn 2.42-2.52, 1 Cu 2.43
Zn: 0.8252 0.3252 0.5000  6 Cu 2.42-2.52
Zn: 0.3252 0.1748 0.5000  6 Cu 2.42-2.52
Zn: 0.6748 0.8252 0.5000  6 Cu 2.42-2.52
Zn: 0.1748 0.6748 0.5000  6 Cu 2.42-2.52

(5)
Below is a geometry-optimized Hf2CoGe structure, with properties calculated at the PBE level.

Summary:
**Size of the total moment**: 0.00 μB per atom
**Formation enthalpy at 0 K**: 363 meV/atom
**Symmetry**: No. 122

a = 4.1226 Å, b = 4.1226 Å, c = 9.5207 Å
α = 77.50°, β = 77.50°, γ = 90.00°
Closest atoms and distances in Å follow each position.
Fractional positions:
Hf: 0.1225 0.6250 0.2500  2 Ge 2.69, 2 Co 2.70, 4 Hf 2.90-2.93
Hf: 0.3750 0.3725 0.7500  2 Ge 2.69, 2 Co 2.70, 4 Hf 2.90-2.93
Hf: 0.8750 0.8775 0.7500  2 Ge 2.69, 2 Co 2.70, 4 Hf 2.90-2.93
Hf: 0.6275 0.1250 0.2500  2 Ge 2.69, 2 Co 2.70, 4 Hf 2.90-2.93
Ge: 0.0000 0.0000 0.0000  4 Hf 2.69, 4 Co 2.92
Ge: 0.7500 0.2500 0.5000  4 Hf 2.69, 4 Co 2.92
Co: 0.2500 0.7500 0.5000  4 Hf 2.70, 4 Ge 2.92
Co: 0.5000 0.5000 0.0000  4 Hf 2.70, 4 Ge 2.92

(6)
Below is a geometry-optimized LiTm2Zn12Ni3 structure, with properties calculated at the PBE level.

Summary:
**Size of the total moment**: 0.00 μB per atom
**Formation enthalpy at 0 K**: 139 meV/atom
**Symmetry**: No. 166

a = 7.9433 Å, b = 7.9433 Å, c = 7.9433 Å
α = 56.75°, β = 56.75°, γ = 56.75°
Closest atoms and distances in Å follow each position.
Fractional positions:
Tm: 0.4152 0.4152 0.4152  6 Zn 2.79-2.96
Tm: 0.5848 0.5848 0.5848  6 Zn 2.79-2.96
Zn: 0.7750 0.1428 0.7750  2 Ni 2.34, 1 Li 2.59
Zn: 0.2250 0.2250 0.8572  2 Ni 2.34, 1 Li 2.59
Zn: 0.4672 0.8316 0.8316  1 Ni 2.52, 4 Zn 2.68-2.75
Zn: 0.5328 0.1684 0.1684  1 Ni 2.52, 4 Zn 2.68-2.75
Zn: 0.2250 0.8572 0.2250  2 Ni 2.34, 1 Li 2.59
Zn: 0.8572 0.2250 0.2250  2 Ni 2.34, 1 Li 2.59
Zn: 0.8316 0.8316 0.4672  1 Ni 2.52, 4 Zn 2.68-2.75
Zn: 0.1428 0.7750 0.7750  2 Ni 2.34, 1 Li 2.59
Zn: 0.7750 0.7750 0.1428  2 Ni 2.34, 1 Li 2.59
Zn: 0.8316 0.4672 0.8316  1 Ni 2.52, 4 Zn 2.68-2.75
Zn: 0.1684 0.1684 0.5328  1 Ni 2.52, 4 Zn 2.68-2.75
Zn: 0.1684 0.5328 0.1684  1 Ni 2.52, 4 Zn 2.68-2.75
Ni: 0.0000 0.0000 0.5000  6 Zn 2.34-2.52
Ni: 0.0000 0.5000 0.0000  6 Zn 2.34-2.52
Ni: 0.5000 0.0000 0.0000  6 Zn 2.34-2.52
Li: 0.0000 0.0000 0.0000  12 Zn 2.59-2.90

(7)
Below is a geometry-optimized LaMgCl structure, with properties calculated at the PBE level.

Summary:
**Size of the total moment**: 0.00 μB per atom
**Symmetry**: No. 71
**E above lowest polymorph**: 50 meV per atom
**Energy relative to the elements, uncorrected**: -951 meV per atom

a = 4.6405 Å, b = 3.5744 Å, c = 19.9540 Å
α = 90.00°, β = 90.00°, γ = 90.00°
Closest atoms and distances in Å follow each position.
Fractional positions:
Mg: 0.0000 0.0000 0.5000  4 Mg 2.93
Mg: 0.5000 0.5000 0.0000  4 Mg 2.93
Mg: 0.0000 0.0000 0.0000  4 Mg 2.93
Mg: 0.5000 0.5000 0.5000  4 Mg 2.93
La: 0.5000 0.0000 0.3519  5 Cl 3.08-3.11
La: 0.5000 0.0000 0.6481  5 Cl 3.08-3.11
La: 0.0000 0.5000 0.8519  5 Cl 3.08-3.11
La: 0.0000 0.5000 0.1481  5 Cl 3.08-3.11
Cl: 0.0000 0.5000 0.6962  5 La 3.08-3.11
Cl: 0.0000 0.5000 0.3038  5 La 3.08-3.11
Cl: 0.5000 0.0000 0.1962  5 La 3.08-3.11
Cl: 0.5000 0.0000 0.8038  5 La 3.08-3.11

(8)
Below is a geometry-optimized Ac4ErSn4 structure, with properties calculated at the PBE level.

Summary:
**Size of the total moment**: 0.00 μB per atom
**Formation enthalpy at 0 K**: -513 meV/atom
**Symmetry**: No. 86

a = 6.8784 Å, b = 9.8322 Å, c = 9.8322 Å
α = 90.00°, β = 90.00°, γ = 90.00°
Closest atoms and distances in Å follow each position.
Fractional positions:
Ac: 0.1424 0.7870 0.4258  4 Sn 3.29-3.56
Ac: 0.1424 0.2130 0.5742  4 Sn 3.29-3.56
Ac: 0.6424 0.0742 0.2870  4 Sn 3.29-3.56
Ac: 0.8576 0.4258 0.2130  4 Sn 3.29-3.56
Ac: 0.3576 0.2870 0.9258  4 Sn 3.29-3.56
Ac: 0.3576 0.7130 0.0742  4 Sn 3.29-3.56
Ac: 0.6424 0.9258 0.7130  4 Sn 3.29-3.56
Ac: 0.8576 0.5742 0.7870  4 Sn 3.29-3.56
Sn: 0.3473 0.6067 0.7569  1 Er 2.93, 1 Sn 3.12
Sn: 0.8473 0.7431 0.1067  1 Er 2.93, 1 Sn 3.12
Sn: 0.6527 0.7569 0.3933  1 Er 2.93, 1 Sn 3.12
Sn: 0.3473 0.3933 0.2431  1 Er 2.93, 1 Sn 3.12
Sn: 0.1527 0.1067 0.2569  1 Er 2.93, 1 Sn 3.12
Sn: 0.6527 0.2431 0.6067  1 Er 2.93, 1 Sn 3.12
Sn: 0.1527 0.8933 0.7431  1 Er 2.93, 1 Sn 3.12
Sn: 0.8473 0.2569 0.8933  1 Er 2.93, 1 Sn 3.12
Er: 0.0000 0.0000 0.0000  4 Sn 2.93
Er: 0.5000 0.5000 0.5000  4 Sn 2.93

(9)
Below is a geometry-optimized LiZrBr structure, with properties calculated at the PBE level.

Summary:
**Size of the total moment**: 0.00 μB per atom
**Symmetry**: No. 8
**E above lowest polymorph**: 70 meV per atom
**Energy relative to the elements, uncorrected**: -676 meV per atom

a = 12.5599 Å, b = 3.5058 Å, c = 6.0468 Å
α = 90.00°, β = 98.93°, γ = 90.00°
Closest atoms and distances in Å follow each position.
Fractional positions:
Br: 0.0563 0.0000 0.1624  5 Li 2.51-2.77
Br: 0.0563 0.5000 0.6624  5 Li 2.51-2.77
Br: 0.3318 0.5000 0.4183  3 Li 2.78-2.79, 3 Zr 2.90
Br: 0.3318 0.0000 0.9183  3 Li 2.78-2.79, 3 Zr 2.90
Li: 0.1769 0.0000 0.5352  6 Br 2.51-2.79
Li: 0.9016 0.0000 0.7722  3 Br 2.77-2.81
Li: 0.1769 0.5000 0.0352  6 Br 2.51-2.79
Li: 0.9016 0.5000 0.2722  3 Br 2.77-2.81
Zr: 0.6882 0.5000 0.8649  3 Zr 3.09, 3 Li 3.32-3.35
Zr: 0.4999 0.0000 0.6385  3 Br 2.90, 3 Zr 3.09
Zr: 0.6882 0.0000 0.3649  3 Zr 3.09, 3 Li 3.32-3.35
Zr: 0.4999 0.5000 0.1385  3 Br 2.90, 3 Zr 3.09

(10)
Below is a geometry-optimized Mn2GaBi structure, with properties calculated at the PBE level.

Summary:
**Size of the total moment**: 1.86 μB per atom
**Formation enthalpy at 0 K**: 522 meV/atom
**Symmetry**: No. 122
**E above lowest polymorph**: 0 meV per atom

a = 4.3191 Å, b = 4.3191 Å, c = 9.5305 Å
α = 76.90°, β = 76.90°, γ = 90.00°
Closest atoms and distances in Å follow each position.
Fractional positions:
Mn: 0.1622 0.6250 0.2500  2 Ga 2.67, 2 Bi 2.79, 2 Mn 2.84
Mn: 0.8750 0.8378 0.7500  2 Ga 2.67, 2 Bi 2.79, 2 Mn 2.84
Mn: 0.5878 0.1250 0.2500  2 Ga 2.67, 2 Bi 2.79, 2 Mn 2.84
Mn: 0.3750 0.4122 0.7500  2 Ga 2.67, 2 Bi 2.79, 2 Mn 2.84
Bi: 0.0000 0.0000 0.0000  4 Mn 2.79, 4 Ga 3.05
Bi: 0.7500 0.2500 0.5000  4 Mn 2.79, 4 Ga 3.05
Ga: 0.2500 0.7500 0.5000  4 Mn 2.67
Ga: 0.5000 0.5000 0.0000  4 Mn 2.67

(11)
Below is a geometry-optimized TeMoPI2 structure, with properties calculated at the PBE level.

Summary:
**Size of the total moment**: 0.82 μB per atom
**Symmetry**: No. 123
**E above lowest polymorph**: 159 meV per atom
**Energy relative to the elements, uncorrected**: 1036 meV per atom

a = 5.3383 Å, b = 5.3383 Å, c = 5.5219 Å
α = 90.00°, β = 90.00°, γ = 90.00°
Closest atoms and distances in Å follow each position.
Fractional positions:
Te: 0.0000 0.0000 0.5000  2 P 2.76
Mo: 0.5000 0.5000 0.5000  4 Te 3.77, 8 I 3.84
I: 0.5000 0.0000 0.0000  2 P 2.67
I: 0.0000 0.5000 0.0000  2 P 2.67
P: 0.0000 0.0000 0.0000  4 I 2.67, 2 Te 2.76

Please write out number 9 again, unchanged.
Below is a geometry-optimized LiZrBr structure, with properties calculated at the PBE level.

Summary:
**Size of the total moment**: 0.00 μB per atom
**Symmetry**: No. 8
**E above lowest polymorph**: 70 meV per atom
**Energy relative to the elements, uncorrected**: -676 meV per atom

a = 12.5599 Å, b = 3.5058 Å, c = 6.0468 Å
α = 90.00°, β = 98.93°, γ = 90.00°
Closest atoms and distances in Å follow each position.
Fractional positions:
Br: 0.0563 0.0000 0.1624  5 Li 2.51-2.77
Br: 0.0563 0.5000 0.6624  5 Li 2.51-2.77
Br: 0.3318 0.5000 0.4183  3 Li 2.78-2.79, 3 Zr 2.90
Br: 0.3318 0.0000 0.9183  3 Li 2.78-2.79, 3 Zr 2.90
Li: 0.1769 0.0000 0.5352  6 Br 2.51-2.79
Li: 0.9016 0.0000 0.7722  3 Br 2.77-2.81
Li: 0.1769 0.5000 0.0352  6 Br 2.51-2.79
Li: 0.9016 0.5000 0.2722  3 Br 2.77-2.81
Zr: 0.6882 0.5000 0.8649  3 Zr 3.09, 3 Li 3.32-3.35
Zr: 0.4999 0.0000 0.6385  3 Br 2.90, 3 Zr 3.09
Zr: 0.6882 0.0000 0.3649  3 Zr 3.09, 3 Li 3.32-3.35
Zr: 0.4999 0.5000 0.1385  3 Br 2.90, 3 Zr 3.09